# AsPbSe2 | Alexandria via LeMat-Bulk | SCAN | single point on PBEsol structure
data_AsPbSe2
_chemical_formula_sum 'As1 Pb1 Se2'
_cell_length_a 3.4918
_cell_length_b 3.4918
_cell_length_c 7.1654
_cell_angle_alpha 90.00
_cell_angle_beta 90.00
_cell_angle_gamma 90.00
_space_group_name_H-M_alt 'P 1'
_space_group_IT_number 1
loop_
_space_group_symop_operation_xyz
'x,y,z'
loop_
_atom_site_label
_atom_site_type_symbol
_atom_site_fract_x
_atom_site_fract_y
_atom_site_fract_z
_atom_site_occupancy
Pb1 Pb 0.5000 0.5000 0.5000 1
As1 As 0.5000 0.5000 0.0000 1
Se1 Se 0.0000 0.0000 0.7754 1
Se2 Se 0.0000 0.0000 0.2246 1
# E_form (uncorrected)	154.5	meV/atom
# distance to the lowest polymorph of the same formula	59	kJ/mol of formula units
# space group	P4/mmm


# ReP2RhCl | Alexandria via LeMat-Bulk | SCAN | single point on PBEsol structure
data_ReP2RhCl
_chemical_formula_sum 'Re1 P2 Rh1 Cl1'
_cell_length_a 4.5260
_cell_length_b 4.5260
_cell_length_c 4.5410
_cell_angle_alpha 90.00
_cell_angle_beta 90.00
_cell_angle_gamma 90.00
_space_group_name_H-M_alt 'P 1'
_space_group_IT_number 1
loop_
_space_group_symop_operation_xyz
'x,y,z'
loop_
_atom_site_label
_atom_site_type_symbol
_atom_site_fract_x
_atom_site_fract_y
_atom_site_fract_z
_atom_site_occupancy
Re1 Re 0.5000 0.5000 0.5000 1
Rh1 Rh 0.0000 0.0000 0.0000 1
P1 P 0.0000 0.5000 0.0000 1
P2 P 0.5000 0.0000 0.0000 1
Cl1 Cl 0.0000 0.0000 0.5000 1
# E_form (uncorrected)	1266.2	meV/atom
# space group	P4/mmm


# CuHgAs2 | Alexandria via LeMat-Bulk | SCAN | single point on PBEsol structure
data_CuHgAs2
_chemical_formula_sum 'Cu1 Hg1 As2'
_cell_length_a 3.0130
_cell_length_b 3.0130
_cell_length_c 9.2396
_cell_angle_alpha 80.62
_cell_angle_beta 80.62
_cell_angle_gamma 60.00
_space_group_name_H-M_alt 'P 1'
_space_group_IT_number 1
loop_
_space_group_symop_operation_xyz
'x,y,z'
loop_
_atom_site_label
_atom_site_type_symbol
_atom_site_fract_x
_atom_site_fract_y
_atom_site_fract_z
_atom_site_occupancy
As1 As 0.9958 0.9958 0.0126 1
As2 As 0.2382 0.2382 0.2855 1
Cu1 Cu 0.5058 0.5058 0.4826 1
Hg1 Hg 0.7602 0.7602 0.7194 1
# E	-30.58	eV per atom
# space group	R3m


# CsZnGa2Sn | Alexandria via LeMat-Bulk | SCAN | single point on PBEsol structure
data_CsZnGa2Sn
_chemical_formula_sum 'Cs1 Zn1 Ga2 Sn1'
_cell_length_a 4.9819
_cell_length_b 4.9819
_cell_length_c 5.7562
_cell_angle_alpha 90.00
_cell_angle_beta 90.00
_cell_angle_gamma 90.00
_space_group_name_H-M_alt 'P 1'
_space_group_IT_number 1
loop_
_space_group_symop_operation_xyz
'x,y,z'
loop_
_atom_site_label
_atom_site_type_symbol
_atom_site_fract_x
_atom_site_fract_y
_atom_site_fract_z
_atom_site_occupancy
Cs1 Cs 0.0000 0.0000 0.5000 1
Zn1 Zn 0.0000 0.0000 0.0000 1
Sn1 Sn 0.5000 0.5000 0.5000 1
Ga1 Ga 0.0000 0.5000 0.0000 1
Ga2 Ga 0.5000 0.0000 0.0000 1
# E	-23.50	eV per atom
# space group	P4/mmm


# NbCdIr3 | Alexandria via LeMat-Bulk | SCAN | single point on PBEsol structure
data_NbCdIr3
_chemical_formula_sum 'Nb1 Cd1 Ir3'
_cell_length_a 4.6692
_cell_length_b 4.6692
_cell_length_c 4.6692
_cell_angle_alpha 90.00
_cell_angle_beta 90.00
_cell_angle_gamma 90.00
_space_group_name_H-M_alt 'P 1'
_space_group_IT_number 1
loop_
_space_group_symop_operation_xyz
'x,y,z'
loop_
_atom_site_label
_atom_site_type_symbol
_atom_site_fract_x
_atom_site_fract_y
_atom_site_fract_z
_atom_site_occupancy
Nb1 Nb 0.5000 0.5000 0.5000 1
Ir1 Ir 0.0000 0.5000 0.0000 1
Ir2 Ir 0.0000 0.0000 0.5000 1
Ir3 Ir 0.5000 0.0000 0.0000 1
Cd1 Cd 0.0000 0.0000 0.0000 1
# distance to the lowest polymorph of the same formula	419	kJ/mol of formula units
# space group	Pm-3m


# MgZn2Fe2 | Alexandria via LeMat-Bulk | SCAN | single point on PBEsol structure
data_MgZn2Fe2
_chemical_formula_sum 'Mg1 Zn2 Fe2'
_cell_length_a 3.6739
_cell_length_b 3.6739
_cell_length_c 6.0820
_cell_angle_alpha 107.58
_cell_angle_beta 107.58
_cell_angle_gamma 90.00
_space_group_name_H-M_alt 'P 1'
_space_group_IT_number 1
loop_
_space_group_symop_operation_xyz
'x,y,z'
loop_
_atom_site_label
_atom_site_type_symbol
_atom_site_fract_x
_atom_site_fract_y
_atom_site_fract_z
_atom_site_occupancy
Mg1 Mg 0.0000 0.0000 0.0000 1
Zn1 Zn 0.2500 0.7500 0.5000 1
Zn2 Zn 0.7500 0.2500 0.5000 1
Fe1 Fe 0.4033 0.4033 0.8066 1
Fe2 Fe 0.5967 0.5967 0.1934 1
# E	-13.34	eV per atom
# space group	I4/mmm


| no. | M_tot (μB per cell) | density (Mg/m³) | DOS at the Fermi energy (states/eV/atom) |
| --- | --- | --- | --- |
| 1 | 0.0 | 8.4 | 0.2923 |
| 2 | 3.0 | 6.9 | 0.3994 |
| 3 | 0.0 | 9.6 | 0.3580 |
| 4 | 0.0 | 5.3 | 0.7327 |
| 5 | 0.0 | 12.8 | 1.0618 |
| 6 | 4.9 | 6.0 | 0.5079 |